! PBE+U KFe3B4O12, optimized geometry; values from VASP
&SYSTEM
  ibrav = 0, nat = 20, ntyp = 4
/
ATOMIC_SPECIES
K 39.10 K.upf
Fe 55.84 Fe.upf
B 10.81 B.upf
O 16.00 O.upf
ATOMIC_POSITIONS angstrom
K 0.000 0.000 0.000
Fe -2.668 -0.966 2.670
Fe 2.171 -1.827 2.670
Fe 0.497 2.793 2.670
B -2.157 -3.736 4.005
B 0.000 0.000 4.005
B -2.157 3.736 4.005
B 4.314 0.000 4.005
O -2.836 -2.599 3.687
O -3.969 0.000 4.005
O -0.833 -3.756 4.323
O -1.389 0.000 4.005
O -2.836 2.599 4.323
O 1.985 -3.437 4.005
O 0.695 -1.203 4.005
O -0.833 3.756 3.687
O 0.695 1.203 4.005
O 3.669 -1.157 3.687
O 1.985 3.437 4.005
O 3.669 1.157 4.323
CELL_PARAMETERS angstrom
4.838 2.793 2.670
-4.838 2.793 2.670
0.000 -5.587 2.670
! E_tot: -7.055 eV per atom
! density of states at the Fermi level: 4.4 states/eV per cell
! crystal system: trigonal